This record from Alexandria describes a geometry-optimized HfSb2Pd structure. The functional is PBE.

a b c (Å): 7.6332 7.6332 7.6332
angles (deg): 131.02 131.02 71.77
Positions (direct):
Hf: 0.0000 0.0000 0.0000
Hf: 0.7500 0.2500 0.5000
Sb: 0.1523 0.6250 0.0273
Sb: 0.3750 0.4023 0.5273
Sb: 0.5977 0.1250 0.9727
Sb: 0.8750 0.8477 0.4727
Pd: 0.2500 0.7500 0.5000
Pd: 0.5000 0.5000 0.0000


This record from Alexandria describes a geometry-optimized HfSbPd structure. The functional is PBE.

a b c (Å): 5.0570 5.0570 5.0570
angles (deg): 136.19 136.19 63.68
Positions (direct):
Hf: 0.0000 0.0000 0.0000
Sb: 0.3388 0.3388 0.0000
Pd: 0.6627 0.6627 0.0000


Number 1: E -0.41903 Ry/atom. Number 2: E -0.49972 Ry/atom.